(1)
LiTbSc: relaxed, PBE.

Computed properties:
Energy of formation from the pure elements: 0.118 eV per atom
Space group: I4mm (107)
Crystal system: tetragonal
Mass density: 4.7 g/cm3
DFT total energy: -4.174 eV per atom
D(E_F): 4.81 states/eV/cell

abc: 3.531 3.531 6.508
angles: 105.74 105.74 90.00
Atoms (fractional coordinates):
Sc1 0.317 0.317 0.634
Li1 0.676 0.676 0.353
Tb1 0.006 0.006 0.013



(2)
Y3Ho6Tl: relaxed, PBE.

Computed properties:
Energy of formation from the pure elements: -0.054 eV per atom
Space group: P2_1/m (11)
Crystal system: monoclinic
Mass density: 7.9 g/cm3
DFT total energy: -4.976 eV per atom
D(E_F): 30.90 states/eV/cell

abc: 5.576 12.832 12.363
angles: 136.09 90.00 90.00
Atoms (fractional coordinates):
Y1 0.750 0.891 0.452
Y2 0.750 0.295 0.271
Ho1 0.750 0.701 0.560
Tl1 0.750 0.696 0.065
Y3 0.250 0.109 0.548
Ho2 0.750 0.302 0.776
Ho3 0.750 0.898 0.962
Ho4 0.750 0.103 0.865
Y4 0.250 0.705 0.729
Ho5 0.250 0.512 0.847
Ho6 0.750 0.107 0.381
Ho7 0.250 0.102 0.038
Ho8 0.750 0.488 0.153
Ho9 0.250 0.893 0.619
Ho10 0.250 0.897 0.135
Ho11 0.250 0.299 0.440
Y5 0.250 0.496 0.326
Y6 0.750 0.504 0.674
Ho12 0.250 0.698 0.224
Tl2 0.250 0.304 0.935



(3)
CoAg2Br: relaxed, PBE.

Computed properties:
Space group: Cmmm (65)
Crystal system: orthorhombic
Mass density: 7.9 g/cm3
DFT total energy: -3.136 eV per atom
D(E_F): 3.46 states/eV/cell

abc: 2.972 2.972 9.138
angles: 90.00 90.00 112.51
Atoms (fractional coordinates):
Co1 0.500 0.500 0.750
Br1 0.500 0.500 0.250
Ag1 0.000 0.000 0.526
Ag2 0.000 0.000 0.974



(4)
TaMn3W: relaxed, PBE.

Computed properties:
Energy of formation from the pure elements: 1.524 eV per atom
Space group: Pm-3m (221)
Crystal system: cubic
Mass density: 9.7 g/cm3
DFT total energy: -8.939 eV per atom
D(E_F): 6.76 states/eV/cell

abc: 4.485 4.485 4.485
angles: 90.00 90.00 90.00
Atoms (fractional coordinates):
Mn1 0.000 0.500 0.000
Mn2 0.500 0.000 0.000
Mn3 0.000 0.000 0.500
W1 0.000 0.000 0.000
Ta1 0.500 0.500 0.500



(5)
BeHgS2: relaxed, PBE.

Computed properties:
Space group: Pmn2_1 (31)
Crystal system: orthorhombic
Mass density: 5.8 g/cm3
DFT total energy: -3.586 eV per atom
D(E_F): 0.00 states/eV/cell

abc: 7.773 3.740 5.418
angles: 90.00 89.99 90.00
Atoms (fractional coordinates):
S1 0.760 0.141 0.451
S2 0.021 0.641 0.844
S3 0.450 0.641 0.951
Hg1 0.452 0.141 0.623
Be1 0.212 0.642 0.129
Hg2 0.758 0.641 0.123
Be2 0.998 0.141 0.629
S4 0.189 0.141 0.345



(6)
AgIrCl5: relaxed, PBE.

Computed properties:
Space group: C2/c (15)
Crystal system: monoclinic
Mass density: 4.3 g/cm3
DFT total energy: -3.349 eV per atom
D(E_F): 11.07 states/eV/cell

abc: 7.311 7.311 8.762
angles: 75.26 75.26 55.63
Atoms (fractional coordinates):
Cl1 0.671 0.016 0.614
Cl2 0.386 0.820 0.009
Cl3 0.614 0.180 0.991
Cl4 0.865 0.135 0.250
Cl5 0.329 0.984 0.386
Cl6 0.820 0.386 0.509
Ag1 0.521 0.479 0.750
Ir1 0.000 0.000 0.500
Cl7 0.180 0.614 0.491
Cl8 0.135 0.865 0.750
Ag2 0.479 0.521 0.250
Cl9 0.016 0.671 0.114
Cl10 0.984 0.329 0.886
Ir2 0.000 0.000 0.000